No. 1
Compound: LiPd2Au6
Source: the Alexandria database
Functional: GGA-PBE
Structure: relaxed

a b c (Å): 4.1370 4.9335 8.7175
angles (deg): 72.05 76.27 65.21
Last column: nearest neighbours and their distance in Å.
Fractional positions:
Au 0.9992 0.8238 0.1779  1 Li 2.77, 3 Pd 2.84-2.86, 8 Au 2.87-3.05
Au 0.3327 0.9404 0.3942  4 Pd 2.79-2.88, 3 Li 2.85, 5 Au 2.87-2.90
Au 0.6670 0.7225 0.9434  9 Au 2.87-2.98, 3 Pd 2.90-2.93
Pd 0.6663 0.3863 0.2810  10 Au 2.79-2.93, 2 Li 2.90
Au 0.0008 0.1762 0.8221  1 Li 2.77, 3 Pd 2.84-2.86, 8 Au 2.87-3.05
Au 0.3330 0.2775 0.0566  9 Au 2.87-2.98, 3 Pd 2.90-2.93
Au 0.6673 0.0596 0.6058  4 Pd 2.79-2.88, 3 Li 2.85, 5 Au 2.87-2.90
Li 0.0000 0.5000 0.5000  8 Au 2.77-2.85, 4 Pd 2.90
Pd 0.3337 0.6137 0.7190  10 Au 2.79-2.93, 2 Li 2.90

Values from the calculation:
- V (Å³/atom) = 16.9
- offset from the most stable computed form (eV/f.u.) = 0.102
- space group = C2/m (12)

---

No. 2
Compound: Li6PdAu12
Source: the Alexandria database
Functional: GGA-PBE
Structure: relaxed

a b c (Å): 6.8296 6.8296 6.8296
angles (deg): 88.86 88.86 88.86
Last column: nearest neighbours and their distance in Å.
Fractional positions:
Pd 0.0000 0.0000 0.0000  6 Li 2.69, 6 Au 2.76
Au 0.8040 0.4361 0.5284  4 Li 2.71-2.91, 5 Au 2.83-2.95
Li 0.2696 0.7307 0.1138  1 Pd 2.69, 7 Au 2.71-2.91, 2 Li 2.81
Li 0.8862 0.7304 0.2693  1 Pd 2.69, 7 Au 2.71-2.91, 2 Li 2.81
Li 0.2693 0.8862 0.7304  1 Pd 2.69, 7 Au 2.71-2.91, 2 Li 2.81
Au 0.9785 0.6319 0.8424  5 Li 2.74-3.06, 1 Pd 2.76, 5 Au 2.80-2.95
Li 0.1138 0.2696 0.7307  1 Pd 2.69, 7 Au 2.71-2.91, 2 Li 2.81
Au 0.1576 0.0215 0.3681  5 Li 2.74-3.06, 1 Pd 2.76, 5 Au 2.80-2.95
Au 0.4716 0.1960 0.5639  4 Li 2.71-2.91, 5 Au 2.83-2.95
Au 0.5284 0.8040 0.4361  4 Li 2.71-2.91, 5 Au 2.83-2.95
Li 0.7304 0.2693 0.8862  1 Pd 2.69, 7 Au 2.71-2.91, 2 Li 2.81
Li 0.7307 0.1138 0.2696  1 Pd 2.69, 7 Au 2.71-2.91, 2 Li 2.81
Au 0.0215 0.3681 0.1576  5 Li 2.74-3.06, 1 Pd 2.76, 5 Au 2.80-2.95
Au 0.3681 0.1576 0.0215  5 Li 2.74-3.06, 1 Pd 2.76, 5 Au 2.80-2.95
Au 0.4361 0.5284 0.8040  4 Li 2.71-2.91, 5 Au 2.83-2.95
Au 0.8424 0.9785 0.6319  5 Li 2.74-3.06, 1 Pd 2.76, 5 Au 2.80-2.95
Au 0.5639 0.4716 0.1960  4 Li 2.71-2.91, 5 Au 2.83-2.95
Au 0.6319 0.8424 0.9785  5 Li 2.74-3.06, 1 Pd 2.76, 5 Au 2.80-2.95
Au 0.1960 0.5639 0.4716  4 Li 2.71-2.91, 5 Au 2.83-2.95

Values from the calculation:
- V (Å³/atom) = 16.8
- offset from the most stable computed form (eV/f.u.) = 0.178
- space group = R-3 (148)

---

No. 3
Compound: Li3Pd2Au6
Source: the Alexandria database
Functional: GGA-PBE
Structure: relaxed

a b c (Å): 3.8892 3.8892 13.4258
angles (deg): 98.33 98.33 90.00
Last column: nearest neighbours and their distance in Å.
Fractional positions:
Pd 0.6512 0.6512 0.3024  5 Au 2.71-2.85, 4 Li 2.75
Au 0.4281 0.9281 0.8563  4 Li 2.71-2.78, 4 Au 2.75, 2 Pd 2.85
Li 0.1475 0.1475 0.2950  5 Au 2.58-2.78, 4 Pd 2.75
Au 0.9281 0.4281 0.8563  4 Li 2.71-2.78, 4 Au 2.75, 2 Pd 2.85
Au 0.0719 0.5719 0.1437  4 Li 2.71-2.78, 4 Au 2.75, 2 Pd 2.85
Li 0.0000 0.0000 0.0000  8 Au 2.71
Li 0.8525 0.8525 0.7050  5 Au 2.58-2.78, 4 Pd 2.75
Pd 0.3488 0.3488 0.6976  5 Au 2.71-2.85, 4 Li 2.75
Au 0.7544 0.7544 0.5087  1 Li 2.58, 1 Pd 2.71, 4 Au 2.76
Au 0.2456 0.2456 0.4913  1 Li 2.58, 1 Pd 2.71, 4 Au 2.76
Au 0.5719 0.0719 0.1437  4 Li 2.71-2.78, 4 Au 2.75, 2 Pd 2.85

Values from the calculation:
- V (Å³/atom) = 18.1
- offset from the most stable computed form (eV/f.u.) = 2.229
- space group = I4/mmm (139)

---

No. 4
Compound: Li6PdAu8
Source: the Alexandria database
Functional: GGA-PBE
Structure: relaxed

a b c (Å): 7.0007 7.0007 7.0007
angles (deg): 61.92 61.92 61.92
Last column: nearest neighbours and their distance in Å.
Fractional positions:
Pd 0.0000 0.0000 0.0000  6 Au 2.77, 6 Li 2.78
Au 0.8306 0.1288 0.6555  3 Li 2.68-2.80, 1 Pd 2.77, 6 Au 2.81-2.99
Li 0.4500 0.7213 0.9640  5 Au 2.68-2.80, 1 Li 2.68, 1 Pd 2.78
Au 0.5962 0.5962 0.5962  6 Li 2.69-2.80, 3 Au 2.81
Au 0.3445 0.1694 0.8712  3 Li 2.68-2.80, 1 Pd 2.77, 6 Au 2.81-2.99
Li 0.0360 0.5500 0.2787  5 Au 2.68-2.80, 1 Li 2.68, 1 Pd 2.78
Au 0.4038 0.4038 0.4038  6 Li 2.69-2.80, 3 Au 2.81
Li 0.2787 0.0360 0.5500  5 Au 2.68-2.80, 1 Li 2.68, 1 Pd 2.78
Au 0.6555 0.8306 0.1288  3 Li 2.68-2.80, 1 Pd 2.77, 6 Au 2.81-2.99
Li 0.7213 0.9640 0.4500  5 Au 2.68-2.80, 1 Li 2.68, 1 Pd 2.78
Au 0.1288 0.6555 0.8306  3 Li 2.68-2.80, 1 Pd 2.77, 6 Au 2.81-2.99
Au 0.1694 0.8712 0.3445  3 Li 2.68-2.80, 1 Pd 2.77, 6 Au 2.81-2.99
Au 0.8712 0.3445 0.1694  3 Li 2.68-2.80, 1 Pd 2.77, 6 Au 2.81-2.99
Li 0.5500 0.2787 0.0360  5 Au 2.68-2.80, 1 Li 2.68, 1 Pd 2.78
Li 0.9640 0.4500 0.7213  5 Au 2.68-2.80, 1 Li 2.68, 1 Pd 2.78

Values from the calculation:
- V (Å³/atom) = 16.9
- space group = R-3 (148)

---

No. 5
Compound: Li5PdAu8
Source: the Alexandria database
Functional: GGA-PBE
Structure: relaxed

a b c (Å): 6.7384 6.7384 6.7384
angles (deg): 109.43 109.54 109.43
Last column: nearest neighbours and their distance in Å.
Fractional positions:
Li 0.5000 0.0000 0.5000  8 Au 2.49-2.74
Li 0.3138 0.0948 0.9633  8 Au 2.64-2.78
Au 0.5970 0.9299 0.8518  5 Li 2.49-2.74, 1 Pd 2.73
Au 0.9219 0.0701 0.6672  5 Li 2.49-2.74, 1 Pd 2.73
Au 0.3328 0.2547 0.4030  5 Li 2.49-2.74, 1 Pd 2.73
Au 0.0842 0.7386 0.4925  5 Li 2.72-2.78, 4 Au 2.81-2.98, 1 Pd 2.93
Li 0.8685 0.9052 0.2190  8 Au 2.64-2.78
Li 0.0367 0.3505 0.1315  8 Au 2.64-2.78
Pd 0.2500 0.5000 0.7500  8 Au 2.73-2.93
Au 0.7539 0.2614 0.3456  5 Li 2.72-2.78, 4 Au 2.81-2.98, 1 Pd 2.93
Li 0.7810 0.6495 0.6862  8 Au 2.64-2.78
Au 0.5075 0.5917 0.2461  5 Li 2.72-2.78, 4 Au 2.81-2.98, 1 Pd 2.93
Au 0.6544 0.4083 0.9158  5 Li 2.72-2.78, 4 Au 2.81-2.98, 1 Pd 2.93
Au 0.1482 0.7453 0.0781  5 Li 2.49-2.74, 1 Pd 2.73

Values from the calculation:
- V (Å³/atom) = 16.8
- space group = I-4 (82)

---

No. 6
Compound: Li5PdAu2
Source: the Alexandria database
Functional: GGA-PBE
Structure: relaxed

a b c (Å): 4.5233 4.5233 6.7017
angles (deg): 109.72 109.72 90.00
Last column: nearest neighbours and their distance in Å.
Fractional positions:
Li 0.6290 0.1290 0.2579  4 Au 2.66-2.69, 3 Li 2.72-2.85, 2 Pd 2.72
Pd 0.0000 0.0000 0.0000  8 Li 2.72, 2 Au 2.92
Li 0.1290 0.6290 0.2579  4 Au 2.66-2.69, 2 Pd 2.72, 3 Li 2.72-2.85
Li 0.8710 0.3710 0.7421  4 Au 2.66-2.69, 2 Pd 2.72, 3 Li 2.72-2.85
Au 0.7520 0.7520 0.5040  9 Li 2.66-2.97, 1 Pd 2.92
Li 0.3710 0.8710 0.7421  4 Au 2.66-2.69, 3 Li 2.72-2.85, 2 Pd 2.72
Au 0.2480 0.2480 0.4960  9 Li 2.66-2.97, 1 Pd 2.92
Li 0.5000 0.5000 0.0000  8 Li 2.72, 2 Au 2.97

Values from the calculation:
- V (Å³/atom) = 15.1
- offset from the most stable computed form (eV/f.u.) = 0.000
- space group = I4/mmm (139)

---

No. 7
Compound: LiPdAu5
Source: the Alexandria database
Functional: GGA-PBE
Structure: relaxed

a b c (Å): 5.0463 6.8804 6.4537
angles (deg): 122.21 113.01 90.00
Last column: nearest neighbours and their distance in Å.
Fractional positions:
Au 0.4616 0.8109 0.0000  1 Li 2.41, 2 Au 2.60-2.69
Au 0.1390 0.5000 0.0000  1 Li 2.31
Au 0.6486 0.7325 0.4650  1 Pd 2.60, 1 Li 2.62, 1 Au 2.65
Pd 0.9543 0.0000 0.0000  6 Au 2.60-2.87
Au 0.4616 0.1891 0.0000  1 Li 2.41, 2 Au 2.60-2.69
Li 0.6819 0.5000 0.0000  3 Au 2.31-2.41
Au 0.1837 0.2675 0.5350  1 Pd 2.60, 1 Li 2.62, 1 Au 2.65

Values from the calculation:
- V (Å³/atom) = 24.0
- offset from the most stable computed form (eV/f.u.) = 4.254
- space group = Imm2 (44)

---

No. 8
Compound: Li5Pd2Au
Source: the Alexandria database
Functional: GGA-PBE
Structure: relaxed

a b c (Å): 5.2996 5.2997 5.3007
angles (deg): 107.86 107.86 112.74
Last column: nearest neighbours and their distance in Å.
Fractional positions:
Li 0.7782 0.2778 0.0000  4 Li 2.65-2.94, 4 Pd 2.65, 2 Au 2.65
Li 0.2784 0.2781 0.9999  8 Li 2.65, 2 Au 2.93-2.94
Li 0.7779 0.7780 0.5002  4 Pd 2.65, 4 Li 2.65-2.94, 2 Au 2.65
Li 0.2778 0.7779 0.0000  2 Au 2.65, 4 Li 2.65-2.94, 4 Pd 2.65
Au 0.7776 0.7775 0.0000  10 Li 2.65-2.94
Pd 0.7776 0.2779 0.5000  8 Li 2.65, 2 Pd 2.94
Pd 0.2776 0.7779 0.5000  8 Li 2.65, 2 Pd 2.94
Li 0.2778 0.2779 0.4998  4 Pd 2.65, 4 Li 2.65-2.94, 2 Au 2.65

Values from the calculation:
- V (Å³/atom) = 14.3
- offset from the most stable computed form (eV/f.u.) = 0.157
- space group = I4/mmm (139)

---

No. 9
Compound: Li7Pd5Au
Source: the Alexandria database
Functional: GGA-PBE
Structure: relaxed

a b c (Å): 5.4080 6.8130 6.8130
angles (deg): 85.14 66.62 66.62
Last column: nearest neighbours and their distance in Å.
Fractional positions:
Li 0.5512 0.1094 0.7882  5 Pd 2.64-2.69, 3 Li 2.82-2.95
Pd 0.5437 0.9492 0.4525  5 Li 2.50-2.68, 3 Pd 2.64-2.76, 1 Au 2.73
Li 0.5512 0.7882 0.1094  5 Pd 2.64-2.69, 3 Li 2.82-2.95
Pd 0.0547 0.9492 0.4525  5 Li 2.50-2.68, 3 Pd 2.64-2.76, 1 Au 2.73
Pd 0.8176 0.6824 0.6824  4 Pd 2.68, 6 Li 2.69-2.94
Au 0.8492 0.1508 0.1508  4 Pd 2.73, 4 Li 2.79-2.95
Pd 0.0547 0.4525 0.9492  5 Li 2.50-2.68, 3 Pd 2.64-2.76, 1 Au 2.73
Li 0.2674 0.2326 0.2326  4 Pd 2.68, 4 Li 2.72-2.82, 2 Au 2.79
Pd 0.5437 0.4525 0.9492  5 Li 2.50-2.68, 3 Pd 2.64-2.76, 1 Au 2.73
Li 0.0430 0.2449 0.6691  5 Pd 2.50-2.73, 1 Li 2.72
Li 0.0430 0.6691 0.2449  5 Pd 2.50-2.73, 1 Li 2.72
Li 0.5004 0.4996 0.4996  1 Li 2.71, 1 Au 2.95
Li 0.1803 0.8197 0.8197  3 Li 2.71-2.90, 1 Au 2.80, 6 Pd 2.83-2.94

Values from the calculation:
- V (Å³/atom) = 16.2
- space group = Imm2 (44)

---

No. 10
Compound: Li2Pd5Au2
Source: the Alexandria database
Functional: GGA-PBE
Structure: relaxed

a b c (Å): 7.1328 5.1431 8.9924
angles (deg): 106.62 113.37 90.00
Last column: nearest neighbours and their distance in Å.
Fractional positions:
Li 0.6383 0.0771 0.5000  5 Pd 2.55-2.80
Au 0.7875 0.3786 0.8702  3 Li 2.72-2.98, 4 Pd 2.74-2.77, 3 Au 2.93-2.96
Pd 0.3781 0.1916 0.6695  3 Li 2.63-2.80, 5 Pd 2.66-2.85, 2 Au 2.75
Au 0.2125 0.5084 0.1298  3 Li 2.72-2.98, 4 Pd 2.74-2.77, 3 Au 2.93-2.96
Pd 0.0331 0.7745 0.5000  1 Li 2.55, 10 Pd 2.61-2.85
Au 0.5828 0.8786 0.8702  3 Li 2.72-2.98, 4 Pd 2.74-2.77, 3 Au 2.93-2.96
Pd 0.9669 0.2745 0.5000  1 Li 2.55, 10 Pd 2.61-2.85
Pd 0.7914 0.6916 0.6695  3 Li 2.63-2.80, 5 Pd 2.66-2.85, 2 Au 2.75
Li 0.5000 0.4125 0.0000  6 Pd 2.63-2.78, 4 Au 2.72-2.82
Pd 0.7952 0.8321 0.1929  2 Li 2.66-2.78, 6 Pd 2.67-2.83, 2 Au 2.74-2.77
Pd 0.1023 0.1392 0.8071  2 Li 2.66-2.78, 6 Pd 2.67-2.83, 2 Au 2.74-2.77
Pd 0.2086 0.0220 0.3305  3 Li 2.63-2.80, 5 Pd 2.66-2.85, 2 Au 2.75
Pd 0.2048 0.6392 0.8071  2 Li 2.66-2.78, 6 Pd 2.67-2.83, 2 Au 2.74-2.77
Au 0.4172 0.0084 0.1298  3 Li 2.72-2.98, 4 Pd 2.74-2.77, 3 Au 2.93-2.96
Pd 0.6219 0.5220 0.3305  3 Li 2.63-2.80, 5 Pd 2.66-2.85, 2 Au 2.75
Li 0.0000 0.9125 0.0000  6 Pd 2.63-2.78, 4 Au 2.72-2.82
Li 0.3617 0.5771 0.5000  5 Pd 2.55-2.80
Pd 0.8977 0.3321 0.1929  2 Li 2.66-2.78, 6 Pd 2.67-2.83, 2 Au 2.74-2.77

Values from the calculation:
- V (Å³/atom) = 16.0
- offset from the most stable computed form (eV/f.u.) = 0.788
- space group = Ima2 (46)

---

no.,DOS at the Fermi energy (states/eV per atom),ΔE_f (eV per formula unit)
1,0.3332,-1.736
2,0.3083,-6.494
3,0.3072,-1.771
4,0.2498,-5.755
5,0.2657,-4.426
6,0.2496,-3.510
7,0.4269,2.949
8,0.2839,-3.229
9,0.3879,-4.569
10,0.9213,-1.723